# 1
# Ni2MoPt PBE-GGA optimized geometry
data_Ni2MoPt
_space_group_name_H-M_alt 'P 4 m m'
_space_group_IT_number 99
_cell_length_a 2.704
_cell_length_b 2.704
_cell_length_c 7.282
_cell_angle_alpha 90.00
_cell_angle_beta 90.00
_cell_angle_gamma 90.00
loop_
_space_group_symop_operation_xyz
'x,y,z'
'-y,x,z'
'-x,-y,z'
'y,-x,z'
'-x,y,z'
'y,x,z'
'x,-y,z'
'-y,-x,z'
loop_
_atom_site_label
_atom_site_fract_x
_atom_site_fract_y
_atom_site_fract_z
Ni1 0.000 0.000 0.000
Ni2 0.500 0.500 0.222
Mo1 0.500 0.500 0.760
Pt1 0.000 0.000 0.478
# **E**: -7.200 eV/atom
# **Magnetization**: 0.00 μB/f.u.

=====

# 2
# Ni2MoPt PBE-GGA optimized geometry
data_Ni2MoPt
_space_group_name_H-M_alt 'C 1 m 1'
_space_group_IT_number 8
_cell_length_a 8.901
_cell_length_b 2.706
_cell_length_c 4.502
_cell_angle_alpha 90.00
_cell_angle_beta 101.10
_cell_angle_gamma 90.00
loop_
_space_group_symop_operation_xyz
'x,y,z'
'x,-y,z'
'x+1/2,y+1/2,z'
'x+1/2,-y+1/2,z'
loop_
_atom_site_label
_atom_site_fract_x
_atom_site_fract_y
_atom_site_fract_z
Ni1 0.000 0.000 0.000
Ni2 0.244 0.500 0.236
Mo1 0.250 0.000 0.756
Pt1 0.494 0.000 0.494
# **E**: -7.216 eV/atom
# **Magnetization**: 0.00 μB/f.u.

=====

# 3
# Ni5Mo2Pt PBE-GGA optimized geometry
data_Ni5Mo2Pt
_space_group_name_H-M_alt 'I 4 m m'
_space_group_IT_number 107
_space_group_name_Hall 'I 4 -2'
_cell_length_a 5.623
_cell_length_b 5.623
_cell_length_c 6.437
_cell_angle_alpha 90.00
_cell_angle_beta 90.00
_cell_angle_gamma 90.00
loop_
_atom_site_label
_atom_site_fract_x
_atom_site_fract_y
_atom_site_fract_z
Ni1 0.000 0.000 0.000
Ni2 0.217 0.217 0.715
Mo1 0.000 0.500 0.462
Pt1 0.000 0.000 0.418
# **E**: -7.031 eV/atom
# **Magnetization**: 0.00 μB/f.u.

=====

# 4
# Ni7Mo2Pt2 PBE-GGA optimized geometry
data_Ni7Mo2Pt2
_space_group_name_H-M_alt 'C 1 2/m 1'
_space_group_IT_number 12
_cell_length_a 8.609
_cell_length_b 8.250
_cell_length_c 4.445
_cell_angle_alpha 90.00
_cell_angle_beta 115.00
_cell_angle_gamma 90.00
loop_
_space_group_symop_operation_xyz
'x,y,z'
'-x,-y,-z'
'-x,y,-z'
'x,-y,z'
'x+1/2,y+1/2,z'
'-x+1/2,-y+1/2,-z'
'-x+1/2,y+1/2,-z'
'x+1/2,-y+1/2,z'
loop_
_atom_site_label
_atom_site_fract_x
_atom_site_fract_y
_atom_site_fract_z
Ni1 0.000 0.000 0.000
Ni2 0.090 0.500 0.811
Ni3 0.172 0.238 0.156
Mo1 0.240 0.500 0.434
Pt1 0.000 0.204 0.500
# **E**: -6.676 eV/atom
# **Magnetization**: 0.00 μB/f.u.

=====

# 5
# Ni4MoPt2 PBE-GGA optimized geometry
data_Ni4MoPt2
_space_group_name_H-M_alt 'I 4/m m m'
_space_group_IT_number 139
_space_group_name_Hall '-I 4 2'
_cell_length_a 4.403
_cell_length_b 4.403
_cell_length_c 12.181
_cell_angle_alpha 90.00
_cell_angle_beta 90.00
_cell_angle_gamma 90.00
loop_
_atom_site_label
_atom_site_fract_x
_atom_site_fract_y
_atom_site_fract_z
Ni1 0.000 0.000 0.186
Ni2 0.000 0.500 0.000
Mo1 0.000 0.000 0.000
Pt1 0.000 0.000 0.386
# **E**: -5.655 eV/atom
# **Magnetization**: 0.00 μB/f.u.

=====

# 6
# NiMo2Pt PBE-GGA optimized geometry
data_NiMo2Pt
_space_group_name_H-M_alt 'I -4 m 2'
_space_group_IT_number 119
_space_group_name_Hall 'I -4 -2'
_cell_length_a 3.927
_cell_length_b 3.927
_cell_length_c 7.580
_cell_angle_alpha 90.00
_cell_angle_beta 90.00
_cell_angle_gamma 90.00
loop_
_atom_site_label
_atom_site_fract_x
_atom_site_fract_y
_atom_site_fract_z
Ni1 0.000 0.000 0.000
Mo1 0.000 0.000 0.500
Mo2 0.000 0.500 0.750
Pt1 0.000 0.500 0.250
# **E**: -8.413 eV/atom
# **Magnetization**: 0.00 μB/f.u.

=====

# 7
# Ni4MoPt2 PBE-GGA optimized geometry
data_Ni4MoPt2
_space_group_name_H-M_alt 'P 42/m n m'
_space_group_IT_number 136
_space_group_name_Hall '-P 4n 2n'
_cell_length_a 6.670
_cell_length_b 6.670
_cell_length_c 4.309
_cell_angle_alpha 90.00
_cell_angle_beta 90.00
_cell_angle_gamma 90.00
loop_
_atom_site_label
_atom_site_fract_x
_atom_site_fract_y
_atom_site_fract_z
Ni1 0.101 0.362 0.000
Mo1 0.000 0.000 0.000
Pt1 0.188 0.188 0.500
# **E**: -6.447 eV/atom
# **Magnetization**: 1.41 μB/f.u.

=====

# 8
# Ni2MoPt PBE-GGA optimized geometry
data_Ni2MoPt
_space_group_name_H-M_alt 'P 1 2/m 1'
_space_group_IT_number 10
_cell_length_a 2.635
_cell_length_b 4.311
_cell_length_c 4.826
_cell_angle_alpha 90.00
_cell_angle_beta 94.07
_cell_angle_gamma 90.00
loop_
_space_group_symop_operation_xyz
'x,y,z'
'-x,-y,-z'
'-x,y,-z'
'x,-y,z'
loop_
_atom_site_label
_atom_site_fract_x
_atom_site_fract_y
_atom_site_fract_z
Ni1 0.243 0.000 0.265
Mo1 0.000 0.500 0.500
Pt1 0.500 0.500 0.000
# **E**: -7.079 eV/atom
# **Magnetization**: 0.00 μB/f.u.

=====

# 9
# NiMo2Pt PBE-GGA optimized geometry
data_NiMo2Pt
_space_group_name_H-M_alt 'P 4/m m m'
_space_group_IT_number 123
_space_group_name_Hall '-P 4 2'
_cell_length_a 3.314
_cell_length_b 3.314
_cell_length_c 5.427
_cell_angle_alpha 90.00
_cell_angle_beta 90.00
_cell_angle_gamma 90.00
loop_
_atom_site_label
_atom_site_fract_x
_atom_site_fract_y
_atom_site_fract_z
Ni1 0.000 0.000 0.000
Mo1 0.500 0.500 0.220
Pt1 0.000 0.000 0.500
# **E**: -8.323 eV/atom
# **Magnetization**: 0.00 μB/f.u.

=====

# 10
# Ni3Mo2Pt2 PBE-GGA optimized geometry
data_Ni3Mo2Pt2
_space_group_name_H-M_alt 'C 1 2/m 1'
_space_group_IT_number 12
_cell_length_a 8.468
_cell_length_b 3.717
_cell_length_c 6.148
_cell_angle_alpha 90.00
_cell_angle_beta 98.46
_cell_angle_gamma 90.00
loop_
_space_group_symop_operation_xyz
'x,y,z'
'-x,-y,-z'
'-x,y,-z'
'x,-y,z'
'x+1/2,y+1/2,z'
'-x+1/2,-y+1/2,-z'
'-x+1/2,y+1/2,-z'
'x+1/2,-y+1/2,z'
loop_
_atom_site_label
_atom_site_fract_x
_atom_site_fract_y
_atom_site_fract_z
Ni1 0.000 0.000 0.000
Ni2 0.072 0.500 0.737
Mo1 0.213 0.500 0.144
Pt1 0.138 0.000 0.423
# **E**: -7.421 eV/atom
# **Magnetization**: 0.00 μB/f.u.

=====

# 11
# Ni7MoPt2 PBE-GGA optimized geometry
data_Ni7MoPt2
_space_group_name_H-M_alt 'C m m m'
_space_group_IT_number 65
_space_group_name_Hall '-C 2 2'
_cell_length_a 6.527
_cell_length_b 12.931
_cell_length_c 3.632
_cell_angle_alpha 90.00
_cell_angle_beta 90.00
_cell_angle_gamma 90.00
loop_
_atom_site_label
_atom_site_fract_x
_atom_site_fract_y
_atom_site_fract_z
Ni1 0.000 0.000 0.000
Ni2 0.000 0.313 0.500
Ni3 0.183 0.401 0.000
Mo1 0.000 0.500 0.500
Pt1 0.000 0.194 0.000
# **E**: -5.871 eV/atom
# **Magnetization**: 1.84 μB/f.u.

=====

# 12
# NiMo2Pt6 PBE-GGA optimized geometry
data_NiMo2Pt6
_space_group_name_H-M_alt 'I m m m'
_space_group_IT_number 71
_space_group_name_Hall '-I 2 2'
_cell_length_a 2.740
_cell_length_b 7.571
_cell_length_c 13.713
_cell_angle_alpha 90.00
_cell_angle_beta 90.00
_cell_angle_gamma 90.00
loop_
_atom_site_label
_atom_site_fract_x
_atom_site_fract_y
_atom_site_fract_z
Ni1 0.000 0.000 0.000
Mo1 0.000 0.177 0.500
Pt1 0.000 0.328 0.333
Pt2 0.000 0.500 0.144
# **E**: -7.100 eV/atom
# **Magnetization**: 0.00 μB/f.u.

=====

Per-record N(E_F), states/eV per cell: 6.48, 9.00, 19.89, 23.23, 9.85, 11.76, 24.27, 4.96, 4.94, 15.85, 33.65, 18.76